No. 1
Crystalline PuNp2PN5 at its relaxed geometry, computed with GGA-PBE.

Unit cell a=6.4136 b=6.4136 c=5.4539 alpha=90.00 beta=90.00 gamma=90.00
Atoms (fractional coordinates):
Pu 0.0000 0.0000 0.0000
Pu 0.5000 0.5000 0.0000
Np 0.1788 0.3212 0.5000
Np 0.3212 0.8212 0.5000
Np 0.6788 0.1788 0.5000
Np 0.8212 0.6788 0.5000
P 0.0000 0.5000 0.0000
P 0.5000 0.0000 0.0000
N 0.0000 0.0000 0.5000
N 0.1386 0.6386 0.2284
N 0.1386 0.6386 0.7716
N 0.3614 0.1386 0.2284
N 0.3614 0.1386 0.7716
N 0.5000 0.5000 0.5000
N 0.6386 0.8614 0.2284
N 0.6386 0.8614 0.7716
N 0.8614 0.3614 0.2284
N 0.8614 0.3614 0.7716

Energy relative to the elements, uncorrected ... -0.747 eV per atom
Raw total energy ... -93.98 eV/f.u.


No. 2
Crystalline Dy2YHo at its relaxed geometry, computed with GGA-PBE.

Unit cell a=11.6175 b=11.6175 c=11.6175 alpha=17.70 beta=17.70 gamma=17.70
Atoms (fractional coordinates):
Dy 0.0000 0.0000 0.0000
Dy 0.1670 0.1670 0.1670
Y 0.4173 0.4173 0.4173
Ho 0.5834 0.5834 0.5834

Calculated formation energy ... 10 meV per atom
Raw total energy ... -20.21 eV/f.u.


No. 3
Crystalline Ho2GeC at its relaxed geometry, computed with GGA-PBE.

Unit cell a=8.7547 b=8.7547 c=8.7547 alpha=23.36 beta=23.36 gamma=23.36
Atoms (fractional coordinates):
Ho 0.1151 0.1151 0.1151
Ho 0.8849 0.8849 0.8849
Ge 0.0000 0.0000 0.0000
C 0.5000 0.5000 0.5000

Calculated formation energy ... -113 meV per atom
Raw total energy ... -23.45 eV/f.u.


No. 4
Crystalline HfSi3As at its relaxed geometry, computed with GGA-PBE.

Unit cell a=5.0568 b=5.0568 c=5.0568 alpha=90.00 beta=90.00 gamma=90.00
Atoms (fractional coordinates):
Hf 0.0000 0.0000 0.0000
Si 0.0000 0.0000 0.5000
Si 0.0000 0.5000 0.0000
Si 0.5000 0.0000 0.0000
As 0.5000 0.5000 0.5000

Energy relative to the elements, uncorrected ... 1.061 eV per atom
Raw total energy ... -25.56 eV/f.u.


Number 1: M_tot 1.1115 μB/atom. Number 2: M_tot 0.0000 μB/atom. Number 3: M_tot 0.0000 μB/atom. Number 4: M_tot 0.0000 μB/atom.